Record 1
Material: YHfP2Cl
Method: DFT, PBE
State: relaxed

Output
Volume ... 119.9 Å³/f.u.
Uncorrected formation energy ... -0.71 eV per atom

abc: 5.0427 5.0427 4.7147
angles: 90.00 90.00 90.00
Last column: nearest neighbours and their distance in Å.
Atoms (fractional coordinates):
Y 0.0000 0.0000 0.0000  8 P 3.45, 4 Cl 3.57
Hf 0.5000 0.5000 0.5000  2 Cl 2.36, 4 P 2.52
P 0.0000 0.5000 0.5000  2 Hf 2.52
P 0.5000 0.0000 0.5000  2 Hf 2.52
Cl 0.5000 0.5000 0.0000  2 Hf 2.36

---

Record 2
Material: Pr2TlTe6Pb3
Method: DFT, PBE
State: relaxed

Output
Volume ... 425.1 Å³/f.u.
Uncorrected formation energy ... -0.74 eV per atom

abc: 10.3733 10.3733 9.4331
angles: 103.39 103.39 25.54
Last column: nearest neighbours and their distance in Å.
Atoms (fractional coordinates):
Pr 0.1681 0.1681 0.3450  6 Te 3.18-3.27
Pr 0.8319 0.8319 0.6550  6 Te 3.18-3.27
Tl 0.5000 0.5000 0.0000  6 Te 3.36-3.46
Te 0.0064 0.0064 0.2628  1 Pr 3.18, 3 Pb 3.23-3.25, 2 Tl 3.36
Te 0.3241 0.3241 0.8973  2 Pr 3.27, 3 Pb 3.27-3.28, 1 Tl 3.46
Te 0.3319 0.3319 0.4092  3 Pr 3.22-3.26, 3 Pb 3.31-3.38
Te 0.6681 0.6681 0.5908  3 Pr 3.22-3.26, 3 Pb 3.31-3.38
Te 0.6759 0.6759 0.1027  2 Pr 3.27, 3 Pb 3.27-3.28, 1 Tl 3.46
Te 0.9936 0.9936 0.7372  1 Pr 3.18, 3 Pb 3.23-3.25, 2 Tl 3.36
Pb 0.1583 0.1583 0.8487  6 Te 3.25-3.38
Pb 0.5000 0.5000 0.5000  6 Te 3.23-3.31
Pb 0.8417 0.8417 0.1513  6 Te 3.25-3.38

---

Question: What is the volume in the second record?
Answer: 425.1 Å³/f.u.

---

Question: Which of these has the lowest volume?
Answer: YHfP2Cl

---

Question: Among the records above, which one has the lowest uncorrected formation energy?
Answer: Pr2TlTe6Pb3

---

Question: The highest volume belongs to which entry?
Answer: Pr2TlTe6Pb3